No. 1
DFT (PBE) results for a geometry-optimized Pm2GdP structure.

Lattice parameters (Å, degrees): 3.9277 3.9277 28.2994 90.00 90.00 120.00
Space group R-3m (No. 166, hexagonal axes)
Inequivalent atoms, fractional coordinates:
Pm 0.0000 0.0000 0.2262
Gd 0.0000 0.0000 0.0000
P 0.0000 0.0000 0.5000

No. 2
DFT (PBE) results for a geometry-optimized PmGdP2 structure.

Lattice parameters (Å, degrees): 7.0627 7.0627 7.0627 90.00 90.00 90.00
Space group Fm-3m (No. 225)
Inequivalent atoms, fractional coordinates:
Pm 0.0000 0.0000 0.0000
Gd 0.0000 0.0000 0.5000
P 0.2500 0.2500 0.2500

No. 3
DFT (PBE) results for a geometry-optimized PrGd2P structure.

Lattice parameters (Å, degrees): 3.7852 3.7852 31.0213 90.00 90.00 120.00
Space group R-3m (No. 166, hexagonal axes)
Inequivalent atoms, fractional coordinates:
Pr 0.0000 0.0000 0.0000
Gd 0.0000 0.0000 0.1136
P 0.0000 0.0000 0.5000

No. 4
DFT (PBE) results for a geometry-optimized Pr2GdP structure.

Lattice parameters (Å, degrees): 3.9020 3.9020 31.1189 90.00 90.00 120.00
Space group R-3m (No. 166, hexagonal axes)
Inequivalent atoms, fractional coordinates:
Pr 0.0000 0.0000 0.1121
Gd 0.0000 0.0000 0.0000
P 0.0000 0.0000 0.5000

| no. | formation energy from the elements (eV/atom) | calculated total energy (eV per atom) | theoretical density (kg/m3) |
| --- | --- | --- | --- |
| 1 | -0.66 | -7.9087 | 6301 |
| 2 | -1.08 | -8.4958 | 6866 |
| 3 | -0.57 | -10.1552 | 6295 |
| 4 | -0.48 | -7.7394 | 5707 |